This record from Alexandria describes a relaxed CrSbO4 crystal. The functional is PBE+U.

abc: 6.961 10.819 4.898
angles: 90.00 134.38 90.00
Space group C2/c (No. 15)
Asymmetric unit:
1 Cr 0.000 0.169 0.250
2 Sb 0.000 0.407 0.750
3 O 0.192 0.292 0.691
4 O 0.241 0.455 0.300

M_tot: 3.00 μB/f.u.
total DFT energy (no corrections): -162.43 eV for the cell shown